Entry 1:
An optimized crystal structure of Li3Mg3Cu2. Source: the Alexandria database, functional PBE-GGA.

Cell: 2.987 7.430 7.430 Å, 120.00 90.00 90.00°
Fractional positions:
Li (0.000, 0.767, 0.767)
Li (0.000, 0.233, 0.000)
Li (0.000, 0.000, 0.233)
Mg (0.500, 0.414, 0.414)
Mg (0.500, 0.586, 0.000)
Mg (0.500, 0.000, 0.586)
Cu (0.000, 0.333, 0.667)
Cu (0.000, 0.667, 0.333)

Output
Calculated density = 2.6 Mg/m³
Energy of formation from the pure elements = -0.05 eV per atom
Magnetic moment = 0.00 μB per cell



Entry 2:
An optimized crystal structure of DyHoHgC. Source: the Alexandria database, functional PBE-GGA.

Cell: 3.593 3.592 8.110 Å, 90.00 102.84 119.99°
Fractional positions:
Dy (0.522, 0.159, 0.697)
Ho (0.085, 0.941, 0.041)
Hg (0.968, 0.382, 0.364)
C (0.303, 0.549, 0.867)

Output
Calculated density = 10.2 Mg/m³
Energy of formation from the pure elements = -0.39 eV per atom
Magnetic moment = 0.00 μB per cell



Entry 3:
An optimized crystal structure of Zn2SeO. Source: the Alexandria database, functional PBE-GGA.

Cell: 3.672 3.672 6.412 Å, 73.40 73.41 60.02°
Fractional positions:
Zn (0.130, 0.575, 0.508)
Zn (0.600, 0.045, 0.098)
Se (0.736, 0.181, 0.691)
O (0.239, 0.684, 0.182)

Output
Calculated density = 5.3 Mg/m³
Raw formation energy = -856 meV/atom
Magnetic moment = 0.00 μB per cell
Distance to the lowest polymorph of the same formula = 124.0 meV per atom



Entry 4:
An optimized crystal structure of Pm5Ho2Tm2. Source: the Alexandria database, functional PBE-GGA.

Cell: 12.821 6.176 10.356 Å, 107.35 128.24 90.00°
Fractional positions:
Pm (0.252, 0.745, 0.903)
Pm (0.748, 0.842, 0.097)
Pm (0.151, 0.245, 0.903)
Pm (0.849, 0.342, 0.097)
Pm (0.329, 0.097, 0.288)
Pm (0.671, 0.809, 0.712)
Pm (0.459, 0.597, 0.288)
Pm (0.541, 0.309, 0.712)
Pm (0.073, 0.793, 0.500)
Pm (0.927, 0.293, 0.500)
Ho (0.000, 0.886, 0.000)
Ho (0.500, 0.386, 0.000)
Ho (0.195, 0.267, 0.500)
Ho (0.805, 0.767, 0.500)
Tm (0.185, 0.584, 0.271)
Tm (0.815, 0.313, 0.729)
Tm (0.586, 0.084, 0.271)
Tm (0.414, 0.813, 0.729)

Output
Calculated density = 7.8 Mg/m³
Energy of formation from the pure elements = 0.18 eV per atom
Magnetic moment = 0.00 μB per cell
Distance to the lowest polymorph of the same formula = 157.2 meV per atom